Computed, not measured: a geometry-optimized RbTl2Br structure at the GGA-PBE level of DFT.

```
8
Lattice="4.708 0.000 0.000 0.000 4.708 0.000 2.354 2.354 14.308" Properties=species:S:1:pos:R:3 pbc="T T T"
Tl 3.483 1.177 3.577
Tl 1.225 3.531 3.577
Tl 3.531 3.580 10.731
Tl 5.886 5.837 10.731
Br 2.354 2.354 0.000
Br 2.354 4.708 7.154
Rb 0.000 0.000 0.000
Rb 4.708 2.354 7.154
```

Properties
Offset from the most stable computed form, meV/atom: 0.0
Symmetry: I-42d
Spin magnetization, μB per formula unit: 0.00
Raw formation energy, meV per atom: -594